No. 1
SrTl2P: relaxed, GGA-PBE.

Properties
Energy of formation from the pure elements ... -0.210 eV per atom
Distance to the lowest polymorph of the same formula ... 185 meV per atom

Structure (POSCAR):
```
SrTl2P
1.0
-2.424 2.424 4.723
2.424 -2.424 4.723
2.424 2.424 -4.723
Tl P Sr
2 1 1
direct
0.250 0.750 0.500
0.000 0.000 0.000
0.500 0.500 0.000
0.750 0.250 0.500
```

***

No. 2
SrTlP: relaxed, GGA-PBE.

Properties
Energy of formation from the pure elements ... -0.597 eV per atom
Distance to the lowest polymorph of the same formula ... 0 meV per atom

Structure (POSCAR):
```
SrTlP
1.0
-1.058 5.246 -1.098
-3.266 -0.057 2.874
4.013 1.079 1.288
Tl P Sr
1 1 1
direct
0.266 0.333 0.667
0.014 0.000 0.000
0.721 0.667 0.333
```

***

No. 3
Sr2Tl2P: relaxed, GGA-PBE.

Properties
Energy of formation from the pure elements ... -0.254 eV per atom
Distance to the lowest polymorph of the same formula ... 100 meV per atom

Structure (POSCAR):
```
Sr2Tl2P
1.0
-3.082 3.297 6.468
-7.169 -2.489 -2.147
0.732 -4.300 2.541
Tl P Sr
4 2 4
direct
0.637 0.137 0.000
0.363 0.863 0.000
0.863 0.637 0.000
0.137 0.363 0.000
0.000 0.000 0.000
0.500 0.500 0.000
0.173 0.673 0.500
0.827 0.327 0.500
0.327 0.173 0.500
0.673 0.827 0.500
```

***

No. 4
SrTlP2: relaxed, GGA-PBE.

Properties
Energy of formation from the pure elements ... -0.135 eV per atom
Distance to the lowest polymorph of the same formula ... 255 meV per atom

Structure (POSCAR):
```
SrTlP2
1.0
4.775 0.011 0.003
-0.005 4.775 0.003
0.026 0.026 4.119
Tl Sr P
1 1 2
direct
0.000 0.500 0.500
0.500 0.000 0.500
0.500 0.500 0.000
0.000 0.000 0.000
```

***

No. 5
SrTlP2: relaxed, GGA-PBE.

Properties
Energy of formation from the pure elements ... 0.121 eV per atom
Distance to the lowest polymorph of the same formula ... 511 meV per atom

Structure (POSCAR):
```
SrTlP2
1.0
-4.505 2.468 0.471
-3.910 -1.143 -3.164
-4.134 -2.500 1.807
P Sr Tl
2 1 1
direct
0.000 0.000 0.000
0.250 0.250 0.250
0.500 0.500 0.500
0.750 0.750 0.750
```

***

No. 6
SrTl2P: relaxed, GGA-PBE.

Properties
Energy of formation from the pure elements ... -0.104 eV per atom
Distance to the lowest polymorph of the same formula ... 291 meV per atom

Structure (POSCAR):
```
SrTl2P
1.0
5.777 -2.465 -0.073
5.777 2.465 -0.073
4.778 0.000 4.077
Sr Tl P
1 2 1
direct
0.000 0.000 0.000
0.775 0.775 0.775
0.225 0.225 0.225
0.500 0.500 0.500
```

***

No. 7
SrTl2P: relaxed, GGA-PBE.

Properties
Energy of formation from the pure elements ... -0.248 eV per atom
Distance to the lowest polymorph of the same formula ... 148 meV per atom

Structure (POSCAR):
```
SrTl2P
1.0
8.416 -2.108 -0.007
8.416 2.108 -0.007
7.891 0.000 3.606
Sr Tl P
1 2 1
direct
0.227 0.227 0.227
0.007 0.007 0.007
0.769 0.769 0.769
0.496 0.496 0.496
```

***

No. 8
SrTlP: relaxed, GGA-PBE.

Properties
Energy of formation from the pure elements ... -0.328 eV per atom
Distance to the lowest polymorph of the same formula ... 268 meV per atom

Structure (POSCAR):
```
SrTlP
1.0
1.755 -5.878 0.187
-3.581 -4.977 -0.276
1.145 5.411 -2.661
P Tl Sr
1 1 1
direct
0.012 0.012 0.000
0.639 0.639 0.000
0.349 0.349 0.000
```

***

Question: Which value of energy of formation from the pure elements does entry 4 give?
Answer: -0.135 eV per atom